Run P
VASP calculation (PBE) on crystalline SrMg2Cl at its relaxed geometry.

## Properties
- SG: Cm, No. 8

Lattice parameters (Å, degrees): 5.6519 5.6519 6.4515 68.66 68.66 39.66
Last column: nearest neighbours and their distance in Å.
Fractional coordinates of all 4 atoms:
1 Cl 0.2510 0.2510 0.3876  3 Sr 2.99-3.02, 2 Mg 3.24
2 Mg 0.9823 0.9823 0.9177  3 Mg 3.02-3.13
3 Mg 0.7328 0.7328 0.8028  3 Mg 3.02-3.13, 2 Cl 3.24
4 Sr 0.5338 0.5338 0.3919  3 Cl 2.99-3.02

=====

Run Q
VASP calculation (PBE) on crystalline SrMg2Cl at its relaxed geometry.

## Properties
- SG: F-43m, No. 216

Lattice parameters (Å, degrees): 5.5354 5.5354 5.5354 60.00 60.00 60.00
Last column: nearest neighbours and their distance in Å.
Fractional coordinates of all 4 atoms:
1 Cl 0.5000 0.5000 0.5000  4 Sr 3.39, 4 Mg 3.39
2 Mg 0.0000 0.0000 0.0000  4 Mg 3.39, 4 Sr 3.39
3 Mg 0.2500 0.2500 0.2500  4 Cl 3.39, 4 Mg 3.39
4 Sr 0.7500 0.7500 0.7500  4 Cl 3.39, 4 Mg 3.39

=====

What should be chosen as the most stable of them? Choose run P.

=====

Run P
VASP calculation (PBE) on crystalline SrMg2Cl at its relaxed geometry.

## Properties
- SG: R3m, No. 160

Lattice parameters (Å, degrees): 9.9130 9.9130 9.9130 23.59 23.59 23.59
Last column: nearest neighbours and their distance in Å.
Fractional coordinates of all 4 atoms:
1 Cl 0.7659 0.7659 0.7659  3 Sr 2.90
2 Mg 0.9893 0.9893 0.9893  3 Mg 3.09
3 Mg 0.2529 0.2529 0.2529  3 Mg 3.09
4 Sr 0.4919 0.4919 0.4919  3 Cl 2.90

=====

Run Q
VASP calculation (PBE) on crystalline SrMg2Cl at its relaxed geometry.

## Properties
- SG: I-4m2, No. 119

Lattice parameters (Å, degrees): 5.9699 5.9699 5.9699 130.98 130.98 71.85
Last column: nearest neighbours and their distance in Å.
Fractional coordinates of all 4 atoms:
1 Cl 0.7500 0.2500 0.5000  8 Mg 3.46-3.50, 4 Sr 3.46
2 Mg 0.0000 0.0000 0.0000  4 Cl 3.46, 4 Mg 3.46, 4 Sr 3.50
3 Mg 0.2500 0.7500 0.5000  4 Mg 3.46, 4 Sr 3.46, 4 Cl 3.50
4 Sr 0.5000 0.5000 0.0000  8 Mg 3.46-3.50, 4 Cl 3.46

=====

Run R
VASP calculation (PBE) on crystalline SrMg2Cl at its relaxed geometry.

## Properties
- SG: Cmmm, No. 65

Lattice parameters (Å, degrees): 3.6177 3.6177 9.7044 90.00 90.00 112.58
Last column: nearest neighbours and their distance in Å.
Fractional coordinates of all 4 atoms:
1 Cl 0.5000 0.5000 0.7500  4 Mg 2.85
2 Mg 0.0000 0.0000 0.9588  2 Cl 2.85
3 Mg 0.0000 0.0000 0.5412  2 Cl 2.85
4 Sr 0.5000 0.5000 0.2500  4 Mg 3.47, 4 Sr 3.62

=====

What should be chosen as the most stable of them? Choose run P.

=====

Run P
VASP calculation (PBE) on crystalline SrMg2Cl at its relaxed geometry.

## Properties
- SG: P4mm, No. 99

Lattice parameters (Å, degrees): 3.7349 3.7349 9.6498 90.00 90.00 90.00
Last column: nearest neighbours and their distance in Å.
Fractional coordinates of all 4 atoms:
1 Cl 0.5000 0.5000 0.6605  4 Sr 3.00
2 Mg 0.0000 0.0000 0.0835  4 Mg 3.06
3 Mg 0.5000 0.5000 0.2439  4 Mg 3.06
4 Sr 0.0000 0.0000 0.5121  4 Cl 3.00

=====

Run Q
VASP calculation (PBE) on crystalline SrMg2Cl at its relaxed geometry.

## Properties
- SG: Pmmm, No. 47

Lattice parameters (Å, degrees): 3.7433 4.7700 6.8450 90.00 90.00 90.00
Last column: nearest neighbours and their distance in Å.
Fractional coordinates of all 4 atoms:
1 Cl 0.0000 0.5000 0.5000  4 Sr 3.03
2 Mg 0.0000 0.0000 0.0000  4 Mg 3.03
3 Mg 0.5000 0.5000 0.0000  4 Mg 3.03
4 Sr 0.5000 0.0000 0.5000  4 Cl 3.03

=====

Run R
VASP calculation (PBE) on crystalline SrMg2Cl at its relaxed geometry.

## Properties
- SG: Fm-3m, No. 225

Lattice parameters (Å, degrees): 5.7442 5.7442 5.7442 60.00 60.00 60.00
Last column: nearest neighbours and their distance in Å.
Fractional coordinates of all 4 atoms:
1 Sr 0.5000 0.5000 0.5000  8 Mg 3.52
2 Mg 0.2500 0.2500 0.2500  4 Sr 3.52, 4 Cl 3.52
3 Mg 0.7500 0.7500 0.7500  4 Cl 3.52, 4 Sr 3.52
4 Cl 0.0000 0.0000 0.0000  8 Mg 3.52

=====

What should be chosen as the most stable of them? Choose run P.

=====

Run P
VASP calculation (PBE) on crystalline SrMg2Cl at its relaxed geometry.

## Properties
- SG: Pm, No. 6

Lattice parameters (Å, degrees): 3.7100 3.7052 9.2779 78.72 90.00 90.00
Last column: nearest neighbours and their distance in Å.
Fractional coordinates of all 4 atoms:
1 Cl 0.5000 0.9735 0.6855  4 Sr 3.01
2 Mg 0.0000 0.7801 0.0561  4 Mg 3.09
3 Mg 0.5000 0.1930 0.2359  4 Mg 3.09
4 Sr 0.0000 0.5534 0.5225  4 Cl 3.01

=====

Run Q
VASP calculation (PBE) on crystalline SrMg2Cl at its relaxed geometry.

## Properties
- SG: R-3m, No. 166

Lattice parameters (Å, degrees): 10.0496 10.0496 10.0496 21.59 21.59 21.59
Last column: nearest neighbours and their distance in Å.
Fractional coordinates of all 4 atoms:
1 Cl 0.7500 0.7500 0.7500  6 Mg 2.96
2 Mg 0.0151 0.0151 0.0151  3 Cl 2.96
3 Mg 0.4849 0.4849 0.4849  3 Cl 2.96
4 Sr 0.2500 0.2500 0.2500  6 Mg 3.62, 6 Sr 3.76

=====

What should be chosen as the most stable of them? Choose run P.

=====

Run P
VASP calculation (PBE) on crystalline SrMg2Cl at its relaxed geometry.

## Properties
- SG: I-42d, No. 122

Lattice parameters (Å, degrees): 9.2925 9.2925 7.1964 49.79 49.79 90.00
Last column: nearest neighbours and their distance in Å.
Fractional coordinates of all 8 atoms:
1 Sr 0.0000 0.0000 0.0000  2 Cl 2.93
2 Sr 0.7500 0.2500 0.5000  2 Cl 2.93
3 Mg 0.5795 0.1250 0.2500  2 Mg 3.05, 2 Cl 3.09
4 Mg 0.1705 0.6250 0.2500  2 Mg 3.05, 2 Cl 3.09
5 Mg 0.3750 0.4205 0.7500  2 Mg 3.05, 2 Cl 3.09
6 Mg 0.8750 0.8295 0.7500  2 Mg 3.05, 2 Cl 3.09
7 Cl 0.5000 0.5000 0.0000  2 Sr 2.93, 4 Mg 3.09
8 Cl 0.2500 0.7500 0.5000  2 Sr 2.93, 4 Mg 3.09

=====

Run Q
VASP calculation (PBE) on crystalline SrMg2Cl at its relaxed geometry.

## Properties
- SG: Cmmm, No. 65

Lattice parameters (Å, degrees): 6.4043 6.4043 3.9256 90.00 90.00 125.84
Last column: nearest neighbours and their distance in Å.
Fractional coordinates of all 4 atoms:
1 Cl 0.0000 0.5000 0.5000  2 Sr 2.92
2 Mg 0.0000 0.0000 0.0000  2 Mg 2.92
3 Mg 0.5000 0.5000 0.0000  2 Mg 2.92
4 Sr 0.5000 0.0000 0.5000  2 Cl 2.92

=====

What should be chosen as the most stable of them? Choose run P.

=====

Run P
VASP calculation (PBE) on crystalline SrMg2Cl6 at its relaxed geometry.

## Properties
- SG: C2/m, No. 12

Lattice parameters (Å, degrees): 4.8887 7.0555 8.7586 101.33 90.00 110.27
Last column: nearest neighbours and their distance in Å.
Fractional coordinates of all 9 atoms:
1 Sr 0.0000 0.0000 0.5000  6 Cl 2.85-3.03
2 Mg 0.7635 0.5270 0.8342  5 Cl 2.32-2.54
3 Mg 0.2365 0.4730 0.1658  5 Cl 2.32-2.54
4 Cl 0.9290 0.8581 0.7855  1 Mg 2.32
5 Cl 0.7740 0.5479 0.1239  3 Mg 2.51-2.54
6 Cl 0.2260 0.4521 0.8761  3 Mg 2.51-2.54
7 Cl 0.6331 0.2662 0.5958  1 Mg 2.41
8 Cl 0.3669 0.7338 0.4042  1 Mg 2.41
9 Cl 0.0710 0.1419 0.2145  1 Mg 2.32

=====

Run Q
VASP calculation (PBE) on crystalline SrMg2Cl6 at its relaxed geometry.

## Properties
- SG: P-31m, No. 162

Lattice parameters (Å, degrees): 6.3228 6.5342 6.5342 120.00 90.00 90.00
Last column: nearest neighbours and their distance in Å.
Fractional coordinates of all 9 atoms:
1 Sr 0.0000 0.0000 0.0000  6 Cl 2.94
2 Mg 0.5000 0.6667 0.3333  6 Cl 2.52
3 Mg 0.5000 0.3333 0.6667  6 Cl 2.52
4 Cl 0.7247 0.6367 0.6367  2 Mg 2.52
5 Cl 0.2753 0.6367 0.0000  2 Mg 2.52
6 Cl 0.2753 0.0000 0.6367  2 Mg 2.52
7 Cl 0.7247 0.3633 0.0000  2 Mg 2.52
8 Cl 0.2753 0.3633 0.3633  2 Mg 2.52
9 Cl 0.7247 0.0000 0.3633  2 Mg 2.52

=====

What should be chosen as the most stable of them? Choose run Q.

=====

Run P
VASP calculation (PBE) on crystalline SrMg3Cl at its relaxed geometry.

## Properties
- SG: Pm-3m, No. 221

Lattice parameters (Å, degrees): 6.8044 6.8044 6.8044 90.00 90.00 90.00
Last column: nearest neighbours and their distance in Å.
Fractional coordinates of all 5 atoms:
1 Sr 0.0000 0.0000 0.0000  6 Mg 3.40
2 Mg 0.0000 0.5000 0.0000  2 Sr 3.40
3 Mg 0.0000 0.0000 0.5000  2 Sr 3.40
4 Mg 0.5000 0.0000 0.0000  2 Sr 3.40
5 Cl 0.5000 0.5000 0.5000  12 Mg 4.81

=====

Run Q
VASP calculation (PBE) on crystalline SrMg3Cl at its relaxed geometry.

## Properties
- SG: Pm-3m, No. 221

Lattice parameters (Å, degrees): 5.4354 5.4354 5.4354 90.00 90.00 90.00
Last column: nearest neighbours and their distance in Å.
Fractional coordinates of all 5 atoms:
1 Sr 0.5000 0.5000 0.5000  12 Mg 3.84
2 Mg 0.0000 0.5000 0.0000  2 Cl 2.72
3 Mg 0.0000 0.0000 0.5000  2 Cl 2.72
4 Mg 0.5000 0.0000 0.0000  2 Cl 2.72
5 Cl 0.0000 0.0000 0.0000  6 Mg 2.72

=====

What should be chosen as the most stable of them? Choose run Q.

=====

Run P
VASP calculation (PBE) on crystalline Mg2TaCl at its relaxed geometry.

## Properties
- SG: Cmmm, No. 65

Lattice parameters (Å, degrees): 3.0527 3.0527 8.4158 90.00 90.00 97.78
Last column: nearest neighbours and their distance in Å.
Fractional coordinates of all 4 atoms:
1 Cl 0.5000 0.5000 0.7500  8 Mg 2.88-3.09, 4 Cl 3.05
2 Mg 0.0000 0.0000 0.9959  4 Cl 2.88-3.09, 4 Ta 2.93-3.14, 4 Mg 3.05
3 Mg 0.0000 0.0000 0.5041  4 Cl 2.88-3.09, 4 Ta 2.93-3.14, 4 Mg 3.05
4 Ta 0.5000 0.5000 0.2500  8 Mg 2.93-3.14, 4 Ta 3.05

=====

Run Q
VASP calculation (PBE) on crystalline Mg2TaCl at its relaxed geometry.

## Properties
- SG: P4/mmm, No. 123

Lattice parameters (Å, degrees): 2.9350 5.3402 5.3402 90.00 90.00 90.00
Last column: nearest neighbours and their distance in Å.
Fractional coordinates of all 4 atoms:
1 Cl 0.5000 0.0000 0.5000  2 Cl 2.93, 8 Mg 3.05
2 Mg 0.0000 0.0000 0.0000  2 Mg 2.93, 4 Ta 3.05, 4 Cl 3.05
3 Mg 0.0000 0.5000 0.5000  2 Mg 2.93, 4 Ta 3.05, 4 Cl 3.05
4 Ta 0.5000 0.5000 0.0000  2 Ta 2.93, 8 Mg 3.05

=====

What should be chosen as the most stable of them? Choose run P.

=====

Run P
VASP calculation (PBE) on crystalline Mg2TaCl at its relaxed geometry.

## Properties
- SG: Imm2, No. 44

Lattice parameters (Å, degrees): 6.0793 6.0793 6.0793 150.81 128.81 60.02
Last column: nearest neighbours and their distance in Å.
Fractional coordinates of all 4 atoms:
1 Cl 0.2904 0.7904 0.5000  2 Ta 2.48
2 Mg 0.0161 0.0161 0.0000  4 Mg 3.06-3.38, 4 Ta 3.07, 2 Cl 3.27
3 Mg 0.7177 0.2177 0.5000  2 Ta 2.97, 2 Mg 3.06, 4 Cl 3.14
4 Ta 0.4759 0.4759 0.0000  2 Cl 2.48

=====

Run Q
VASP calculation (PBE) on crystalline Mg2TaCl at its relaxed geometry.

## Properties
- SG: P4mm, No. 99

Lattice parameters (Å, degrees): 3.0114 3.0114 10.1574 90.00 90.00 90.00
Last column: nearest neighbours and their distance in Å.
Fractional coordinates of all 4 atoms:
1 Cl 0.5000 0.5000 0.6613  4 Ta 2.69, 4 Cl 3.01
2 Mg 0.0000 0.0000 0.0495  8 Mg 3.01-3.24
3 Mg 0.5000 0.5000 0.2898  4 Ta 3.01, 8 Mg 3.01-3.24
4 Ta 0.0000 0.0000 0.4994  4 Cl 2.69, 4 Mg 3.01, 4 Ta 3.01

=====

Run R
VASP calculation (PBE) on crystalline Mg2TaCl at its relaxed geometry.

## Properties
- SG: Pmmm, No. 47

Lattice parameters (Å, degrees): 2.9921 4.9035 5.3202 90.00 90.00 90.00
Last column: nearest neighbours and their distance in Å.
Fractional coordinates of all 4 atoms:
1 Cl 0.0000 0.5000 0.5000  4 Ta 2.87, 2 Cl 2.99, 4 Mg 3.05
2 Mg 0.0000 0.0000 0.0000  6 Mg 2.87-2.99, 4 Ta 3.05
3 Mg 0.5000 0.5000 0.0000  6 Mg 2.87-2.99, 4 Cl 3.05
4 Ta 0.5000 0.0000 0.5000  4 Cl 2.87, 2 Ta 2.99, 4 Mg 3.05

=====

What should be chosen as the most stable of them? Choose run Q.

=====

Run P
VASP calculation (PBE) on crystalline Mg2TaCl at its relaxed geometry.

## Properties
- SG: P2/m, No. 10

Lattice parameters (Å, degrees): 5.4309 2.9859 5.6397 61.71 90.00 90.00
Last column: nearest neighbours and their distance in Å.
Fractional coordinates of all 4 atoms:
1 Cl 0.5000 0.7500 0.7500  2 Ta 2.49
2 Mg 0.0000 0.7644 0.0077  6 Mg 2.69-2.99
3 Mg 0.0000 0.7356 0.4923  6 Mg 2.69-2.99
4 Ta 0.5000 0.2500 0.2500  2 Cl 2.49

=====

Run Q
VASP calculation (PBE) on crystalline Mg2TaCl at its relaxed geometry.

## Properties
- SG: Pm, No. 6

Lattice parameters (Å, degrees): 4.7426 3.0076 5.7636 75.00 90.00 90.00
Last column: nearest neighbours and their distance in Å.
Fractional coordinates of all 4 atoms:
1 Cl 0.5000 0.5856 0.7018  2 Ta 2.58, 2 Mg 2.80
2 Mg 0.0000 0.9397 0.0001  3 Ta 2.90-3.07, 6 Mg 3.01-3.21
3 Mg 0.5000 0.2984 0.2776  2 Cl 2.80, 2 Mg 3.01, 4 Ta 3.11-3.12
4 Ta 0.0000 0.6763 0.5205  2 Cl 2.58

=====

Run R
VASP calculation (PBE) on crystalline Mg2TaCl at its relaxed geometry.

## Properties
- SG: P4/mmm, No. 123

Lattice parameters (Å, degrees): 3.0605 3.0605 8.3269 90.00 90.00 90.00
Last column: nearest neighbours and their distance in Å.
Fractional coordinates of all 4 atoms:
1 Cl 0.5000 0.5000 0.7500  8 Mg 2.99, 4 Cl 3.06
2 Mg 0.0000 0.0000 0.9979  4 Cl 2.99, 4 Ta 3.01, 4 Mg 3.06
3 Mg 0.0000 0.0000 0.5021  4 Cl 2.99, 4 Ta 3.01, 4 Mg 3.06
4 Ta 0.5000 0.5000 0.2500  8 Mg 3.01, 4 Ta 3.06

=====

What should be chosen as the most stable of them? Choose run R.

=====

Run P
VASP calculation (PBE) on crystalline Mg2TaCl at its relaxed geometry.

## Properties
- SG: F-43m, No. 216

Lattice parameters (Å, degrees): 4.8438 4.8438 4.8438 60.00 60.00 60.00
Last column: nearest neighbours and their distance in Å.
Fractional coordinates of all 4 atoms:
1 Cl 0.5000 0.5000 0.5000  4 Ta 2.97, 4 Mg 2.97
2 Mg 0.0000 0.0000 0.0000  4 Ta 2.97, 4 Mg 2.97
3 Mg 0.2500 0.2500 0.2500  4 Cl 2.97, 4 Mg 2.97
4 Ta 0.7500 0.7500 0.7500  4 Cl 2.97, 4 Mg 2.97

=====

Run Q
VASP calculation (PBE) on crystalline Mg2TaCl at its relaxed geometry.

## Properties
- SG: R-3m, No. 166

Lattice parameters (Å, degrees): 8.9239 8.9239 8.9239 20.60 20.60 20.60
Last column: nearest neighbours and their distance in Å.
Fractional coordinates of all 4 atoms:
1 Cl 0.7500 0.7500 0.7500  6 Mg 2.75
2 Mg 0.0055 0.0055 0.0055  3 Cl 2.75, 3 Ta 2.97
3 Mg 0.4945 0.4945 0.4945  3 Cl 2.75, 3 Ta 2.97
4 Ta 0.2500 0.2500 0.2500  6 Mg 2.97, 6 Ta 3.19

=====

What should be chosen as the most stable of them? Choose run Q.

=====

Run P
VASP calculation (PBE) on crystalline Mg2TaCl at its relaxed geometry.

## Properties
- SG: Cm, No. 8

Lattice parameters (Å, degrees): 5.7064 5.7064 5.3737 72.02 72.02 30.60
Last column: nearest neighbours and their distance in Å.
Fractional coordinates of all 4 atoms:
1 Cl 0.8057 0.8057 0.7702  2 Ta 2.52, 1 Mg 2.76
2 Mg 0.0138 0.0138 0.9516  1 Cl 2.76, 2 Ta 3.00, 2 Mg 3.01
3 Mg 0.2137 0.2137 0.3206  3 Ta 2.99-3.10, 2 Mg 3.01, 4 Cl 3.18-3.27
4 Ta 0.4668 0.4668 0.4576  2 Cl 2.52

=====

Run Q
VASP calculation (PBE) on crystalline Mg2TaCl at its relaxed geometry.

## Properties
- SG: Cmm2, No. 35

Lattice parameters (Å, degrees): 3.0086 3.0086 11.0684 90.00 90.00 112.99
Last column: nearest neighbours and their distance in Å.
Fractional coordinates of all 4 atoms:
1 Cl 0.5000 0.5000 0.6731  2 Ta 2.52
2 Mg 0.0000 0.0000 0.0412  8 Mg 3.01-3.32
3 Mg 0.5000 0.5000 0.2838  2 Ta 2.93, 6 Mg 3.01-3.16
4 Ta 0.0000 0.0000 0.5019  2 Cl 2.52

=====

Run R
VASP calculation (PBE) on crystalline Mg2TaCl at its relaxed geometry.

## Properties
- SG: I4/mmm, No. 139

Lattice parameters (Å, degrees): 5.6433 5.6433 5.6433 138.47 138.47 60.19
Last column: nearest neighbours and their distance in Å.
Fractional coordinates of all 4 atoms:
1 Cl 0.7500 0.2500 0.5000  4 Ta 2.83, 8 Mg 3.16
2 Mg 0.0000 0.0000 0.0000  4 Mg 2.83, 4 Cl 3.16, 4 Ta 3.16
3 Mg 0.5000 0.5000 0.0000  4 Mg 2.83, 4 Ta 3.16, 4 Cl 3.16
4 Ta 0.2500 0.7500 0.5000  4 Cl 2.83, 8 Mg 3.16

=====

What should be chosen as the most stable of them? Choose run Q.